Entry from Alexandria: an optimized crystal structure of LaZr2Pb (GGA-PBE).

Symmetry: C2/m
Electronic total energy (eV per atom): -6.51
Spin magnetization (μB per formula unit): 0.00
Formation energy (eV/atom): -0.076

Lattice parameters (Å, degrees): 5.667 5.667 5.879 101.60 101.60 34.40
Fractional positions:
La1 0.000 0.000 0.000
Zr1 0.240 0.240 0.730
Zr2 0.760 0.760 0.270
Pb1 0.500 0.500 0.500



Entry from Alexandria: an optimized crystal structure of La2ZrPb (GGA-PBE).

Symmetry: I-42d
Electronic total energy (eV per atom): -5.37
Spin magnetization (μB per formula unit): 0.00
Formation energy (eV/atom): 0.159

Lattice parameters (Å, degrees): 7.031 7.031 7.031 101.50 101.50 126.95
Fractional positions:
La1 0.124 0.625 0.999
La2 0.375 0.374 0.499
La3 0.626 0.125 0.001
La4 0.875 0.876 0.501
Zr1 0.250 0.750 0.500
Zr2 0.500 0.500 0.000
Pb1 0.000 0.000 0.000
Pb2 0.750 0.250 0.500



Entry from Alexandria: an optimized crystal structure of LaZr2Pb (GGA-PBE).

Symmetry: P4/mmm
Electronic total energy (eV per atom): -6.51
Spin magnetization (μB per formula unit): 0.00
Formation energy (eV/atom): -0.080

Lattice parameters (Å, degrees): 4.785 4.785 4.484 90.00 90.00 90.00
Fractional positions:
La1 0.000 0.000 0.000
Zr1 0.000 0.500 0.500
Zr2 0.500 0.000 0.500
Pb1 0.500 0.500 0.000



Entry from Alexandria: an optimized crystal structure of LaZr2Pb (GGA-PBE).

Symmetry: R-3m
Electronic total energy (eV per atom): -6.34
Spin magnetization (μB per formula unit): 0.00
Formation energy (eV/atom): 0.096

Lattice parameters (Å, degrees): 10.462 10.462 10.462 18.93 18.93 18.93
Fractional positions:
La1 0.000 0.000 0.000
Zr1 0.247 0.247 0.247
Zr2 0.753 0.753 0.753
Pb1 0.500 0.500 0.500



Entry from Alexandria: an optimized crystal structure of LaZr2Pb (GGA-PBE).

Symmetry: Pmm2
Electronic total energy (eV per atom): -6.51
Spin magnetization (μB per formula unit): 0.00
Formation energy (eV/atom): -0.074

Lattice parameters (Å, degrees): 3.329 5.564 5.625 90.00 90.00 90.00
Fractional positions:
La1 0.000 0.000 0.000
Zr1 0.000 0.500 0.357
Zr2 0.500 0.000 0.506
Pb1 0.500 0.500 0.831



Entry from Alexandria: an optimized crystal structure of La2ZrPb (GGA-PBE).

Symmetry: I4/mmm
Electronic total energy (eV per atom): -5.64
Spin magnetization (μB per formula unit): 0.00
Formation energy (eV/atom): -0.114

Lattice parameters (Å, degrees): 6.131 6.131 6.131 133.83 133.83 67.36
Fractional positions:
La1 0.250 0.750 0.500
La2 0.750 0.250 0.500
Zr1 0.000 0.000 0.000
Pb1 0.500 0.500 0.000



Entry from Alexandria: an optimized crystal structure of La2ZrPb (GGA-PBE).

Symmetry: P4/mmm
Electronic total energy (eV per atom): -5.64
Spin magnetization (μB per formula unit): 0.00
Formation energy (eV/atom): -0.111

Lattice parameters (Å, degrees): 3.485 3.485 10.077 90.00 90.00 90.00
Fractional positions:
La1 0.000 0.000 0.246
La2 0.000 0.000 0.754
Zr1 0.500 0.500 0.000
Pb1 0.500 0.500 0.500



Entry from Alexandria: an optimized crystal structure of La2ZrPb (GGA-PBE).

Symmetry: Pmmm
Electronic total energy (eV per atom): -5.63
Spin magnetization (μB per formula unit): 0.00
Formation energy (eV/atom): -0.106

Lattice parameters (Å, degrees): 3.544 4.716 7.285 90.00 90.00 90.00
Fractional positions:
La1 0.000 0.000 0.250
La2 0.000 0.000 0.750
Zr1 0.500 0.500 0.000
Pb1 0.500 0.500 0.500



Question: Number 2 is which compound?
Answer: La2ZrPb



What did the third record say?
Entry from Alexandria: an optimized crystal structure of LaZr2Pb (GGA-PBE).

Symmetry: P4/mmm
Electronic total energy (eV per atom): -6.51
Spin magnetization (μB per formula unit): 0.00
Formation energy (eV/atom): -0.080

Lattice parameters (Å, degrees): 4.785 4.785 4.484 90.00 90.00 90.00
Fractional positions:
La1 0.000 0.000 0.000
Zr1 0.000 0.500 0.500
Zr2 0.500 0.000 0.500
Pb1 0.500 0.500 0.000



Question: Which formula does entry 8 have?
Answer: La2ZrPb